# 1
5
Lattice="-1.0351 -2.9612 3.7318 1.2387 -4.3050 -3.0724 4.6324 0.2655 1.4956" Properties=species:S:1:pos:R:3 comment="RbMgNb2P | Alexandria via LeMat-Bulk | PBE-GGA | relaxed" e_form_ev_per_atom=2.523 sg="No. 123" n_ef_per_ev_cell=5.7 total_energy_ev_per_atom=-3.10 pbc="T T T"
Nb 2.3162 0.1328 0.7478
Nb -0.5176 -1.4806 1.8659
P 0.6194 -2.1525 -1.5362
Rb 0.0000 0.0000 0.0000
Mg 2.4180 -3.5004 1.0775

---

# 2
5
Lattice="4.7455 0.0000 0.0000 0.0000 4.7455 0.0000 0.0000 0.0000 5.0214" Properties=species:S:1:pos:R:3 comment="MgNbPS2 | Alexandria via LeMat-Bulk | PBE-GGA | relaxed" formation_energy_uncorrected_ev_per_atom=-0.227 sg="No. 123" n_ef_per_ev_cell=2.4 total_energy_ev_per_atom=-5.29 pbc="T T T"
Mg 2.3727 2.3727 2.5107
Nb 0.0000 0.0000 0.0000
S 0.0000 2.3727 0.0000
S 2.3727 0.0000 0.0000
P 0.0000 0.0000 2.5107

---

Repeat the first record exactly.
5
Lattice="-1.0351 -2.9612 3.7318 1.2387 -4.3050 -3.0724 4.6324 0.2655 1.4956" Properties=species:S:1:pos:R:3 comment="RbMgNb2P | Alexandria via LeMat-Bulk | PBE-GGA | relaxed" e_form_ev_per_atom=2.523 sg="No. 123" n_ef_per_ev_cell=5.7 total_energy_ev_per_atom=-3.10 pbc="T T T"
Nb 2.3162 0.1328 0.7478
Nb -0.5176 -1.4806 1.8659
P 0.6194 -2.1525 -1.5362
Rb 0.0000 0.0000 0.0000
Mg 2.4180 -3.5004 1.0775